VASP calculation (PBE-GGA) on an optimized crystal structure of Mn2PbCS.

Output
The energy comes out at -28.30 eV for the cell shown. Its space group is P4/mmm, No. 123. As for the volume: 21.70 Å³/atom.

a b c (Å): 4.344 5.751 4.344
angles (deg): 90.00 90.00 90.00
Site moments in Bohr magnetons follow the coordinates.
Fractional coordinates of all 5 atoms:
S 0.000 0.000 0.000  -0.01
Mn 0.000 0.000 0.500  3.51
C 0.500 0.500 0.500  0.21
Mn 0.500 0.000 0.000  3.67
Pb 0.000 0.500 0.000  0.00